Ho3TlC after structural relaxation, computed with GGA-PBE.

Lattice parameters (Å, degrees): 4.889 4.889 4.889 90.00 90.00 90.00
Space group Pm-3m (No. 221)
Asymmetric unit:
Ho (0.000, 0.000, 0.500) x3
Tl (0.500, 0.500, 0.500) x1
C (0.000, 0.000, 0.000) x1

Summary:
Total DFT energy (no corrections): -5.540 eV per atom
Size of the total moment: 0.0 Bohr magnetons per cell